Entry 1:
A plane-wave DFT calculation with PBE was carried out for a relaxed P2H24AuC8I crystal.

Summary:
Its magnetization is 0.4 Bohr magnetons per cell.

Cell: 7.9350 12.0625 12.0625 Å, 123.46 90.00 90.00°
With the nearest neighbours (Å) after each atom.
Fractional positions:
H 0.9459 0.8633 0.6967  1 C 1.10
C 0.4338 0.1103 0.3766  3 H 1.10
H 0.0463 0.8553 0.5596  1 C 1.10
H 0.6378 0.5780 0.6345  1 C 1.10
H 0.6378 0.3655 0.4220  1 C 1.10
P 0.7500 0.8104 0.5178  3 C 1.82
H 0.1378 0.6345 0.5780  1 C 1.10
P 0.7500 0.4822 0.1896  3 C 1.82
H 0.1378 0.4220 0.3655  1 C 1.10
C 0.7500 0.3776 0.3766  3 H 1.10
C 0.9338 0.8897 0.6234  3 H 1.10
H 0.1361 0.3526 0.8439  1 C 1.10
H 0.7500 0.5186 0.0139  1 C 1.10
C 0.2500 0.6224 0.6234  3 H 1.10
H 0.3639 0.1561 0.6474  1 C 1.10
H 0.9209 0.3257 0.0019  1 C 1.10
H 0.7500 0.7303 0.6984  1 C 1.10
H 0.8622 0.5780 0.6345  1 C 1.10
C 0.5662 0.3766 0.1103  3 H 1.10
H 0.3639 0.3526 0.8439  1 C 1.10
C 0.0662 0.1103 0.3766  3 H 1.10
H 0.5463 0.5596 0.8553  1 C 1.10
H 0.2500 0.6984 0.7303  1 C 1.10
P 0.2500 0.1896 0.4822  3 C 1.82
H 0.2500 0.4814 0.9861  1 C 1.10
H 0.1361 0.1561 0.6474  1 C 1.10
H 0.2500 0.0139 0.5186  1 C 1.10
H 0.9537 0.5596 0.8553  1 C 1.10
Au 0.2500 0.4245 0.5755  2 C 2.12
I 0.7500 0.2737 0.7263  14 H 3.08-3.32
H 0.4209 0.6743 0.9981  1 C 1.10
H 0.4537 0.4404 0.1447  1 C 1.10
H 0.0541 0.6967 0.8633  1 C 1.10
C 0.2500 0.1232 0.5855  3 H 1.10
H 0.3622 0.6345 0.5780  1 C 1.10
C 0.7500 0.8768 0.4145  3 H 1.10
H 0.4537 0.8553 0.5596  1 C 1.10
H 0.0541 0.1367 0.3033  1 C 1.10
H 0.8622 0.3655 0.4220  1 C 1.10
C 0.4338 0.6234 0.8897  3 H 1.10
H 0.6361 0.8439 0.3526  1 C 1.10
I 0.2500 0.7263 0.2737  14 H 3.08-3.32
C 0.2500 0.3766 0.3776  3 H 1.10
H 0.8639 0.6474 0.1561  1 C 1.10
H 0.4459 0.1367 0.3033  1 C 1.10
H 0.5791 0.3257 0.0019  1 C 1.10
C 0.7500 0.5855 0.1232  3 H 1.10
P 0.2500 0.5178 0.8104  3 C 1.82
H 0.9537 0.1447 0.4404  1 C 1.10
H 0.0463 0.4404 0.1447  1 C 1.10
H 0.8639 0.8439 0.3526  1 C 1.10
H 0.9209 0.9981 0.6743  1 C 1.10
C 0.9338 0.3766 0.1103  3 H 1.10
H 0.5541 0.3033 0.1367  1 C 1.10
H 0.7500 0.3016 0.2697  1 C 1.10
H 0.5463 0.1447 0.4404  1 C 1.10
Au 0.7500 0.5755 0.4245  2 C 2.12
H 0.4459 0.6967 0.8633  1 C 1.10
C 0.5662 0.8897 0.6234  3 H 1.10
H 0.0791 0.6743 0.9981  1 C 1.10
H 0.5541 0.8633 0.6967  1 C 1.10
H 0.5791 0.9981 0.6743  1 C 1.10
H 0.3622 0.4220 0.3655  1 C 1.10
H 0.4209 0.0019 0.3257  1 C 1.10
H 0.9459 0.3033 0.1367  1 C 1.10
C 0.7500 0.6234 0.6224  3 H 1.10
H 0.0791 0.0019 0.3257  1 C 1.10
C 0.0662 0.6234 0.8897  3 H 1.10
H 0.6361 0.6474 0.1561  1 C 1.10
C 0.2500 0.4145 0.8768  3 H 1.10
H 0.7500 0.9861 0.4814  1 C 1.10
H 0.2500 0.2697 0.3016  1 C 1.10

=====

Entry 2:
A plane-wave DFT calculation with PBE was carried out for a relaxed Fe2CuHg crystal.

Summary:
For the energy above the most stable polymorph in this dataset, the calculation gives 218.2 meV/atom. Its magnetization is 5.7 Bohr magnetons per cell. The calculation puts the formation energy at 480 meV/atom.

Cell: 8.9844 8.9844 8.9844 Å, 17.85 17.85 17.85°
With the nearest neighbours (Å) after each atom.
Fractional positions:
Cu 0.7500 0.7500 0.7500  6 Fe 2.58, 6 Cu 2.79
Fe 0.4926 0.4926 0.4926  3 Cu 2.58, 6 Fe 2.79
Hg 0.2500 0.2500 0.2500  6 Hg 2.79, 6 Fe 2.90
Fe 0.0074 0.0074 0.0074  3 Cu 2.58, 6 Fe 2.79

=====

Entry 3:
A plane-wave DFT calculation with PBE was carried out for a relaxed InAs2Br8 crystal.

Summary:
Its magnetization is 0.0 Bohr magnetons per cell. The formation energy (no corrections) is -42 kJ/mol of atoms.

Cell: 8.3749 8.2502 8.2502 Å, 67.42 89.48 89.48°
With the nearest neighbours (Å) after each atom.
Fractional positions:
As 0.3600 0.8523 0.8523  3 Br 2.37-2.48
Br 0.8337 0.3527 0.9437  1 As 2.48
In 0.0000 0.0000 0.0000  2 Br 2.73
Br 0.7049 0.9170 0.9170  1 In 2.73, 1 As 3.03
Br 0.1663 0.6473 0.0563  1 As 2.48
Br 0.8337 0.9437 0.3527  1 As 2.48
Br 0.5761 0.3165 0.3165  1 As 2.37
Br 0.4239 0.6835 0.6835  1 As 2.37
Br 0.1663 0.0563 0.6473  1 As 2.48
Br 0.2951 0.0830 0.0830  1 In 2.73, 1 As 3.03
As 0.6400 0.1477 0.1477  3 Br 2.37-2.48

=====

Entry 4:
A plane-wave DFT calculation with PBE was carried out for a relaxed CaCuP2 crystal.

Summary:
Its magnetization is 0.0 Bohr magnetons per cell. The calculation puts the formation energy at -79 meV/atom.

Cell: 5.3066 5.3066 5.3066 Å, 136.95 136.95 62.51°
With the nearest neighbours (Å) after each atom.
Fractional positions:
P 0.2500 0.7500 0.5000  4 Cu 2.75, 4 Ca 2.99, 4 P 2.99
Ca 0.5000 0.5000 0.0000  8 P 2.75-2.99, 4 Cu 2.99
P 0.0000 0.0000 0.0000  4 Ca 2.75, 4 Cu 2.99, 4 P 2.99
Cu 0.7500 0.2500 0.5000  8 P 2.75-2.99, 4 Ca 2.99

=====

Calculated values (eV/f.u.) of DFT total energy for the records, taken in order: -177.205; -19.404; -30.154; -17.234.